Entry 1:
Density functional theory data (PBE) for a geometry-optimized Ni5Pb3Br12 structure.

Properties
Space-group type: Ia-3d, No. 230
Calculated total energy in Ry/atom: -0.2493
E_form (uncorrected) in eV per atom: -0.3869
M_tot in μB per atom: 0.300

Cell and atoms, written as extended XYZ:
```
80
Lattice="14.081 0.000 0.000 -4.694 13.275 0.000 -4.694 -6.638 11.497" Properties=species:S:1:pos:R:3 pbc="T T T"
Pb 8.214 4.149 1.437
Pb 8.214 9.127 1.437
Pb -1.173 5.808 7.186
Pb 1.173 -0.830 4.311
Pb 10.561 0.000 2.874
Pb 1.173 6.638 2.874
Pb 3.520 0.000 8.623
Pb -5.867 6.638 8.623
Pb 3.520 7.467 7.186
Pb 5.867 0.830 4.311
Pb -3.520 -2.489 10.060
Pb -3.520 2.489 10.060
Ni -1.173 3.319 2.874
Ni -2.347 6.638 0.000
Ni 0.000 0.000 0.000
Ni 3.520 2.489 1.437
Ni 4.694 -3.319 5.748
Ni 4.694 6.638 0.000
Ni -3.520 7.467 4.311
Ni 5.867 -4.149 10.060
Ni 5.867 5.808 4.311
Ni 1.173 -3.319 8.623
Ni 3.520 9.957 2.874
Ni 2.347 3.319 5.748
Ni 7.040 0.000 0.000
Ni -2.347 -3.319 5.748
Ni -1.173 0.830 7.186
Ni -1.173 10.786 1.437
Ni -4.694 3.319 5.748
Ni 8.214 -0.830 7.186
Ni 1.173 4.149 10.060
Ni 5.867 3.319 8.623
Br 9.231 1.384 0.247
Br 0.156 4.225 4.674
Br 10.568 3.127 3.437
Br 5.860 1.906 1.322
Br 1.773 4.796 7.813
Br 10.149 6.687 2.064
Br -1.180 7.859 4.759
Br -3.513 11.369 1.322
Br 0.574 8.479 7.813
Br 6.278 6.589 2.064
Br 7.196 3.796 4.427
Br 7.196 11.892 0.247
Br -4.119 5.845 5.996
Br 3.109 4.826 0.990
Br -4.850 9.479 4.427
Br 2.503 -2.413 6.823
Br -0.574 1.049 2.312
Br 3.109 8.401 1.074
Br 5.860 10.148 3.437
Br -0.762 4.874 1.074
Br -2.921 7.687 9.185
Br 3.527 5.417 4.759
Br 6.466 7.430 5.996
Br 5.456 -1.812 10.507
Br 1.166 1.221 6.738
Br -1.773 -0.792 5.501
Br -0.762 8.450 0.990
Br -1.166 -3.511 8.060
Br 7.615 -1.049 2.312
Br 5.456 1.763 10.422
Br 1.584 -1.763 10.422
Br 2.191 9.051 4.674
Br 5.268 5.589 9.185
Br 9.543 -2.841 7.070
Br 8.813 0.792 5.501
Br -2.503 -5.254 11.249
Br 1.584 1.812 10.507
Br 4.119 -1.841 3.684
Br -1.584 0.049 9.433
Br -2.503 2.841 7.070
Br 8.207 -4.731 10.175
Br 5.874 -1.221 6.738
Br -1.166 4.731 10.175
Br -5.456 -0.049 9.433
Br 2.921 1.841 3.684
Br -5.874 3.511 8.060
Br 4.537 2.413 6.823
Br -4.537 5.254 11.249
```

***

Entry 2:
Density functional theory data (PBE) for a geometry-optimized NiPb2Br6 structure.

Properties
Space-group type: P4_2/mnm, No. 136
Calculated total energy in Ry/atom: -0.2374
E_form (uncorrected) in eV per atom: -0.6483
M_tot in μB per atom: 0.209

Cell and atoms, written as extended XYZ:
```
18
Lattice="6.820 0.000 0.000 0.000 6.820 0.000 0.000 0.000 12.884" Properties=species:S:1:pos:R:3 pbc="T T T"
Ni 0.000 0.000 0.000
Ni 3.410 3.410 6.442
Pb 0.000 0.000 4.325
Pb 3.410 3.410 10.767
Pb 3.410 3.410 2.117
Pb 0.000 0.000 8.559
Br 2.165 2.165 4.575
Br 4.655 4.655 4.575
Br 1.245 5.575 11.017
Br 5.575 1.245 11.017
Br 1.245 5.575 1.867
Br 5.575 1.245 1.867
Br 2.165 2.165 8.309
Br 4.655 4.655 8.309
Br 1.844 1.844 0.000
Br 4.976 4.976 0.000
Br 1.566 5.254 6.442
Br 5.254 1.566 6.442
```

***

Entry 3:
Density functional theory data (PBE) for a geometry-optimized NiPbBr4 structure.

Properties
Space-group type: I-4, No. 82
Energy relative to the lowest polymorph listed for this composition in eV per formula unit: 0.000
Calculated total energy in Ry/atom: -0.2361
E_form (uncorrected) in eV per atom: -0.5150
M_tot in μB per atom: 0.021

Cell and atoms, written as extended XYZ:
```
6
Lattice="5.998 0.341 -2.165 -2.860 5.283 -2.165 -0.190 -0.341 6.373" Properties=species:S:1:pos:R:3 pbc="T T T"
Ni 1.569 2.812 -2.165
Pb 3.688 1.406 1.022
Br 0.736 1.347 2.270
Br 2.217 3.946 -0.234
Br -0.466 3.950 -2.150
Br 3.408 1.324 4.201
```

***

Entry 4:
Density functional theory data (PBE) for a geometry-optimized Ni3PbBr structure.

Properties
Space-group type: Pm-3m, No. 221
Energy relative to the lowest polymorph listed for this composition in eV per formula unit: 0.000
Calculated total energy in Ry/atom: -0.2847
E_form (uncorrected) in eV per atom: 0.6709
M_tot in μB per atom: 0.000

Cell and atoms, written as extended XYZ:
```
5
Lattice="4.512 0.000 0.000 0.000 4.512 0.000 0.000 0.000 4.512" Properties=species:S:1:pos:R:3 pbc="T T T"
Pb 2.256 2.256 2.256
Ni 0.000 2.256 0.000
Ni 0.000 0.000 2.256
Ni 2.256 0.000 0.000
Br 0.000 0.000 0.000
```

***

Entry 5:
Density functional theory data (PBE) for a geometry-optimized NiPb4Br structure.

Properties
Space-group type: F-43m, No. 216
Calculated total energy in Ry/atom: -0.2354
E_form (uncorrected) in eV per atom: 0.5115
M_tot in μB per atom: 0.092

Cell and atoms, written as extended XYZ:
```
6
Lattice="-0.583 -5.444 -3.349 -5.777 -1.903 -2.051 -1.416 0.217 -6.257" Properties=species:S:1:pos:R:3 pbc="T T T"
Ni 0.000 0.000 0.000
Pb -3.202 -5.410 -6.048
Pb -3.621 -2.558 -7.513
Pb -5.819 -3.626 -5.394
Pb -2.908 -2.667 -4.360
Br -5.831 -5.348 -8.743
```

***

Entry 6:
Density functional theory data (PBE) for a geometry-optimized NiPbBr4 structure.

Properties
Space-group type: F-43m, No. 216
Energy relative to the lowest polymorph listed for this composition in eV per formula unit: 7.562
Calculated total energy in Ry/atom: -0.1434
E_form (uncorrected) in eV per atom: 0.7453
M_tot in μB per atom: 0.024

Cell and atoms, written as extended XYZ:
```
6
Lattice="0.000 4.455 4.455 4.455 0.000 4.455 4.455 4.455 0.000" Properties=species:S:1:pos:R:3 pbc="T T T"
Ni 6.682 6.682 6.682
Pb 0.000 0.000 0.000
Br 3.352 5.557 5.557
Br 5.557 5.557 3.352
Br 5.557 3.352 5.557
Br 3.352 3.352 3.352
```

***

Entry 7:
Density functional theory data (PBE) for a geometry-optimized Ni3PbBr structure.

Properties
Space-group type: Pm-3m, No. 221
Energy relative to the lowest polymorph listed for this composition in eV per formula unit: 2.631
Calculated total energy in Ry/atom: -0.2461
E_form (uncorrected) in eV per atom: 1.1970
M_tot in μB per atom: 0.000

Cell and atoms, written as extended XYZ:
```
5
Lattice="-1.138 -4.730 0.266 4.047 -1.113 -2.474 2.462 -0.357 4.189" Properties=species:S:1:pos:R:3 pbc="T T T"
Pb 0.000 0.000 0.000
Ni 2.024 -0.556 -1.237
Ni 1.231 -0.178 2.094
Ni -0.569 -2.365 0.133
Br 2.686 -3.100 0.991
```

***

Entry 8:
Density functional theory data (PBE) for a geometry-optimized NiPb3Br structure.

Properties
Space-group type: Pm-3m, No. 221
Energy relative to the lowest polymorph listed for this composition in eV per formula unit: 0.000
Calculated total energy in Ry/atom: -0.2747
E_form (uncorrected) in eV per atom: -0.0221
M_tot in μB per atom: 0.000

Cell and atoms, written as extended XYZ:
```
5
Lattice="5.241 0.000 0.000 0.000 5.241 0.000 0.000 0.000 5.241" Properties=species:S:1:pos:R:3 pbc="T T T"
Pb 0.000 2.621 0.000
Pb 0.000 0.000 2.621
Pb 2.621 0.000 0.000
Ni 0.000 0.000 0.000
Br 2.621 2.621 2.621
```

***

Entry 9:
Density functional theory data (PBE) for a geometry-optimized NiPb3Br structure.

Properties
Space-group type: Pm-3m, No. 221
Energy relative to the lowest polymorph listed for this composition in eV per formula unit: 5.068
Calculated total energy in Ry/atom: -0.2002
E_form (uncorrected) in eV per atom: 0.9914
M_tot in μB per atom: 0.181

Cell and atoms, written as extended XYZ:
```
5
Lattice="-3.129 4.206 2.184 -3.232 -3.808 2.702 3.466 0.246 4.492" Properties=species:S:1:pos:R:3 pbc="T T T"
Pb -1.616 -1.904 1.351
Pb 1.733 0.123 2.246
Pb -1.565 2.103 1.092
Ni -1.448 0.321 4.689
Br 0.000 0.000 0.000
```

***

Entry 10:
Density functional theory data (PBE) for a geometry-optimized NiPdPbBr2 structure.

Properties
Space-group type: P4/mmm, No. 123
Calculated total energy in Ry/atom: -0.2425
E_form (uncorrected) in eV per atom: 0.3068
M_tot in μB per atom: 0.108

Cell and atoms, written as extended XYZ:
```
5
Lattice="5.104 0.000 0.000 0.000 4.902 0.000 0.000 0.000 5.104" Properties=species:S:1:pos:R:3 pbc="T T T"
Pb 2.552 2.451 2.552
Ni 0.000 2.451 0.000
Br 0.000 0.000 2.552
Br 2.552 0.000 0.000
Pd 0.000 0.000 0.000
```

***

Entry 11:
Density functional theory data (PBE) for a geometry-optimized Rb2NiPbBr6 structure.

Properties
Space-group type: P4/mmm, No. 123
Energy relative to the lowest polymorph listed for this composition in eV per formula unit: 0.492
Calculated total energy in Ry/atom: -0.2302
E_form (uncorrected) in eV per atom: -0.9857
M_tot in μB per atom: 0.152

Cell and atoms, written as extended XYZ:
```
10
Lattice="5.721 0.000 0.000 0.000 5.721 0.000 0.000 0.000 10.846" Properties=species:S:1:pos:R:3 pbc="T T T"
Rb 0.000 0.000 7.741
Rb 0.000 0.000 3.105
Ni 2.860 2.860 5.423
Pb 2.860 2.860 0.000
Br 2.860 0.000 0.000
Br 2.860 0.000 5.423
Br 0.000 2.860 0.000
Br 0.000 2.860 5.423
Br 2.860 2.860 7.839
Br 2.860 2.860 3.007
```

***

Entry 12:
Density functional theory data (PBE) for a geometry-optimized Rb2NiPbBr6 structure.

Properties
Space-group type: Fm-3m, No. 225
Energy relative to the lowest polymorph listed for this composition in eV per formula unit: 0.000
Calculated total energy in Ry/atom: -0.2338
E_form (uncorrected) in eV per atom: -1.0349
M_tot in μB per atom: 0.200

Cell and atoms, written as extended XYZ:
```
10
Lattice="7.840 0.000 0.000 0.000 7.840 0.000 3.920 3.920 5.549" Properties=species:S:1:pos:R:3 pbc="T T T"
Pb 0.000 0.000 0.000
Ni 3.920 3.920 0.000
Br 3.920 3.920 2.569
Br 7.840 7.840 2.981
Br 2.106 2.106 0.000
Br 5.734 5.734 0.000
Br 5.734 2.106 0.000
Br 2.106 5.734 0.000
Rb 7.840 3.920 2.775
Rb 3.920 7.840 2.775
```

***

Entry 13:
Density functional theory data (PBE) for a geometry-optimized NiRhPbBr2 structure.

Properties
Space-group type: P4/mmm, No. 123
Calculated total energy in Ry/atom: -0.2721
E_form (uncorrected) in eV per atom: 0.3358
M_tot in μB per atom: 0.149

Cell and atoms, written as extended XYZ:
```
5
Lattice="4.798 0.000 0.000 0.000 4.959 0.000 0.000 0.000 4.798" Properties=species:S:1:pos:R:3 pbc="T T T"
Pb 2.399 2.480 2.399
Ni 0.000 0.000 0.000
Rh 0.000 2.480 0.000
Br 0.000 0.000 2.399
Br 2.399 0.000 0.000
```

***

Entry 14:
Density functional theory data (PBE) for a geometry-optimized Ni2PbSBr structure.

Properties
Space-group type: P4/mmm, No. 123
Calculated total energy in Ry/atom: -0.3107
E_form (uncorrected) in eV per atom: -0.0135
M_tot in μB per atom: 0.186

Cell and atoms, written as extended XYZ:
```
5
Lattice="4.257 0.000 0.000 0.000 6.173 0.000 0.000 0.000 4.257" Properties=species:S:1:pos:R:3 pbc="T T T"
Pb 0.000 3.086 0.000
Ni 0.000 0.000 2.129
Ni 2.129 0.000 0.000
S 0.000 0.000 0.000
Br 2.129 3.086 2.129
```

***

Entry 15:
Density functional theory data (PBE) for a geometry-optimized NiPbSBr2 structure.

Properties
Space-group type: P4/mmm, No. 123
Calculated total energy in Ry/atom: -0.2656
E_form (uncorrected) in eV per atom: -0.2212
M_tot in μB per atom: 0.000

Cell and atoms, written as extended XYZ:
```
5
Lattice="4.929 0.000 0.000 0.000 4.699 0.000 0.000 0.000 4.929" Properties=species:S:1:pos:R:3 pbc="T T T"
Pb 2.464 2.349 2.464
Ni 0.000 0.000 0.000
S 0.000 2.349 0.000
Br 0.000 0.000 2.464
Br 2.464 0.000 0.000
```

***

Entry 16:
Density functional theory data (PBE) for a geometry-optimized NiSb2PbBr structure.

Properties
Space-group type: P4/mmm, No. 123
Calculated total energy in Ry/atom: -0.2733
E_form (uncorrected) in eV per atom: 0.1624
M_tot in μB per atom: 0.000

Cell and atoms, written as extended XYZ:
```
5
Lattice="-1.335 -0.680 -4.827 1.533 -4.926 0.270 -4.638 -1.363 1.475" Properties=species:S:1:pos:R:3 pbc="T T T"
Pb -2.220 -3.484 -1.541
Sb -2.319 -0.681 0.737
Sb -0.667 -0.340 -2.413
Br 0.767 -2.463 0.135
Ni 0.000 0.000 0.000
```

***

Entry 17:
Density functional theory data (PBE) for a geometry-optimized NiPbSeBr2 structure.

Properties
Space-group type: P4/mmm, No. 123
Calculated total energy in Ry/atom: -0.2580
E_form (uncorrected) in eV per atom: -0.2458
M_tot in μB per atom: 0.000

Cell and atoms, written as extended XYZ:
```
5
Lattice="-3.009 -2.126 3.195 2.550 -4.141 -0.353 2.980 1.510 3.812" Properties=species:S:1:pos:R:3 pbc="T T T"
Pb 1.261 -2.378 3.327
Ni 0.000 0.000 0.000
Se 1.490 0.755 1.906
Br 1.275 -2.070 -0.177
Br -1.504 -1.063 1.597
```

***

Entry 18:
Density functional theory data (PBE) for a geometry-optimized NiSn2PbBr structure.

Properties
Space-group type: P4/mmm, No. 123
Calculated total energy in Ry/atom: -0.2061
E_form (uncorrected) in eV per atom: 1.0301
M_tot in μB per atom: 0.123

Cell and atoms, written as extended XYZ:
```
5
Lattice="-4.918 -2.864 -1.608 2.528 -4.930 1.049 -1.939 0.194 5.583" Properties=species:S:1:pos:R:3 pbc="T T T"
Pb 0.000 0.000 0.000
Ni -2.164 -3.800 2.512
Sn -0.969 0.097 2.792
Sn -2.459 -1.432 -0.804
Br 1.264 -2.465 0.524
```

***

Entry 19:
Density functional theory data (PBE) for a geometry-optimized Ni2PdBr2 structure.

Properties
Space-group type: P4/mbm, No. 127
Calculated total energy in Ry/atom: -0.2652
E_form (uncorrected) in eV per atom: 0.4113
M_tot in μB per atom: 0.401

Cell and atoms, written as extended XYZ:
```
10
Lattice="-6.810 -0.240 -0.021 0.212 -5.678 -3.761 0.061 -2.000 3.023" Properties=species:S:1:pos:R:3 pbc="T T T"
Ni -2.315 -5.011 -3.268
Ni -5.770 -3.803 -2.399
Ni -4.283 -0.908 -0.514
Ni -0.829 -2.115 -1.383
Br -1.046 -4.900 -1.047
Br -4.422 -5.824 -1.590
Br -5.491 -3.018 0.288
Br -2.116 -2.095 0.831
Pd 0.000 0.000 0.000
Pd -3.299 -2.959 -1.891
```

***

Entry 20:
Density functional theory data (PBE) for a geometry-optimized NiPdBr2 structure.

Properties
Space-group type: Fm-3m, No. 225
Energy relative to the lowest polymorph listed for this composition in eV per formula unit: 1.354
Calculated total energy in Ry/atom: -0.2311
E_form (uncorrected) in eV per atom: 0.4356
M_tot in μB per atom: 0.500

Cell and atoms, written as extended XYZ:
```
4
Lattice="-3.326 -0.753 3.272 -2.161 3.664 2.059 -4.530 0.926 -0.979" Properties=species:S:1:pos:R:3 pbc="T T T"
Ni 0.000 0.000 0.000
Br -2.504 0.959 1.088
Br -7.513 2.877 3.264
Pd -5.009 1.918 2.176
```

***

Entry 21:
Density functional theory data (PBE) for a geometry-optimized Ni3PdBr8 structure.

Properties
Space-group type: C2/m, No. 12
Calculated total energy in Ry/atom: -0.2415
E_form (uncorrected) in eV per atom: -0.2920
M_tot in μB per atom: 0.668

Cell and atoms, written as extended XYZ:
```
12
Lattice="7.489 0.000 0.000 -3.744 5.318 -3.705 0.000 0.286 8.063" Properties=species:S:1:pos:R:3 pbc="T T T"
Ni 3.744 0.000 0.000
Ni 1.872 2.659 -1.853
Ni -1.872 2.659 -1.853
Pd 0.000 0.000 0.000
Br 0.000 3.033 4.449
Br 3.744 2.571 -0.091
Br 1.946 0.395 6.257
Br 5.542 0.395 6.257
Br 3.744 2.951 4.476
Br 0.000 2.653 -0.118
Br -1.798 5.209 -1.899
Br 1.798 5.209 -1.899
```